Material: CrGePdO
Method: DFT, GGA+U
State: optimized geometry

CIF file:
```
data_CrGePdO
_cell_length_a 5.226
_cell_length_b 3.040
_cell_length_c 7.403
_cell_angle_alpha 90.00
_cell_angle_beta 90.03
_cell_angle_gamma 90.00
_symmetry_space_group_name_H-M 'C 1 m 1'
_symmetry_Int_Tables_number 8
_symmetry_space_group_name_Hall 'C -2y'
loop_
_atom_site_label
_atom_site_fract_x
_atom_site_fract_y
_atom_site_fract_z
Cr1 0.000 0.000 0.000
Ge1 0.168 0.500 0.568
Pd1 0.334 0.000 0.293
O1 0.166 0.500 0.868
```

Relative energy among the computed polymorphs (meV per atom): 134.5
DOS at the Fermi energy (states/eV/cell): 2.73